# 1
Entry from Alexandria via LeMat-Bulk: a relaxed TlRuBrCl6 crystal (GGA-PBE).

abc: 7.9728 7.9736 7.3518
angles: 55.55 62.21 62.34
Site moments in Bohr magnetons follow the coordinates.
Fractional coordinates of all 9 atoms:
Tl: 0.0276 0.8963 0.0605  0.05
Ru: 0.3334 0.3406 0.5001  1.33
Br: 0.5558 0.7543 0.4547  -0.01
Cl: 0.0993 0.2168 0.5438  0.08
Cl: 0.2963 0.1611 0.8932  0.11
Cl: 0.6011 0.4389 0.4419  0.02
Cl: 0.1026 0.6406 0.5362  0.07
Cl: 0.3880 0.5123 0.1043  0.10
Cl: 0.5956 0.0391 0.4652  0.01

SG: P1
Energy relative to the elements, uncorrected in eV per atom: -0.5036
Uncorrected energy in eV/cell: -28.9

***

# 2
Entry from Alexandria via LeMat-Bulk: a relaxed Tl2RuBrCl5 crystal (GGA-PBE).

abc: 7.1115 7.1115 7.1115
angles: 89.35 120.38 120.38
Site moments in Bohr magnetons follow the coordinates.
Fractional coordinates of all 9 atoms:
Tl: 0.5000 0.2519 0.7519  0.02
Tl: 0.5000 0.7519 0.2519  0.02
Ru: 0.0000 0.0017 0.0017  1.38
Br: 0.0000 0.7554 0.7554  0.06
Cl: 0.4687 0.2355 0.2355  0.06
Cl: 0.5313 0.7668 0.7668  0.06
Cl: 0.0000 0.7668 0.2355  0.06
Cl: 0.0000 0.2355 0.7668  0.06
Cl: 0.0000 0.2346 0.2346  0.06

SG: I4mm
Energy relative to the elements, uncorrected in eV per atom: -0.7353
Uncorrected energy in eV/cell: -31.5

***

# 3
Entry from Alexandria via LeMat-Bulk: a relaxed SbS2BrCl crystal (GGA-PBE).

abc: 5.1683 5.1683 5.1508
angles: 90.00 90.00 90.00
Site moments in Bohr magnetons follow the coordinates.
Fractional coordinates of all 5 atoms:
Sb: 0.0000 0.0000 0.0000  0.00
S: 0.0000 0.5000 0.0000  0.45
S: 0.5000 0.0000 0.0000  0.45
Br: 0.5000 0.5000 0.5000  0.67
Cl: 0.0000 0.0000 0.5000  0.02

SG: P4/mmm
Energy above the lowest structure with this stoichiometry in meV per atom: 0.0
Energy relative to the elements, uncorrected in eV per atom: 0.3481
Uncorrected energy in eV/cell: -14.2

***

# 4
Entry from Alexandria via LeMat-Bulk: a relaxed SeSBrCl2 crystal (GGA-PBE).

abc: 4.8316 4.8316 5.2865
angles: 90.00 90.00 90.00
Fractional coordinates of all 5 atoms:
S: 0.0000 0.0000 0.5000
Se: 0.0000 0.0000 0.0000
Br: 0.5000 0.5000 0.5000
Cl: 0.0000 0.5000 0.0000
Cl: 0.5000 0.0000 0.0000

SG: P4/mmm
Energy above the lowest structure with this stoichiometry in meV per atom: 0.0
Energy relative to the elements, uncorrected in eV per atom: 0.3828
Uncorrected energy in eV/cell: -11.1

***

# 5
Entry from Alexandria via LeMat-Bulk: a relaxed SiS2BrCl crystal (GGA-PBE).

abc: 4.6396 4.6396 4.6522
angles: 90.00 90.00 90.00
Fractional coordinates of all 5 atoms:
S: 0.0000 0.5000 0.0000
S: 0.5000 0.0000 0.0000
Si: 0.0000 0.0000 0.0000
Br: 0.5000 0.5000 0.5000
Cl: 0.0000 0.0000 0.5000

SG: P4/mmm
Energy above the lowest structure with this stoichiometry in meV per atom: 0.0
Energy relative to the elements, uncorrected in eV per atom: 0.3064
Uncorrected energy in eV/cell: -15.7

***

# 6
Entry from Alexandria via LeMat-Bulk: a relaxed SiSBrCl2 crystal (GGA-PBE).

abc: 4.5728 4.5728 5.0886
angles: 90.00 90.00 90.00
Fractional coordinates of all 5 atoms:
S: 0.0000 0.0000 0.5000
Si: 0.0000 0.0000 0.0000
Br: 0.5000 0.5000 0.5000
Cl: 0.0000 0.5000 0.0000
Cl: 0.5000 0.0000 0.0000

SG: P4/mmm
Energy above the lowest structure with this stoichiometry in meV per atom: 0.0
Energy relative to the elements, uncorrected in eV per atom: 0.0461
Uncorrected energy in eV/cell: -14.7

***

# 7
Entry from Alexandria via LeMat-Bulk: a relaxed SnSBrCl2 crystal (GGA-PBE).

abc: 5.0399 5.0399 5.4492
angles: 90.00 90.00 90.00
Fractional coordinates of all 5 atoms:
S: 0.0000 0.0000 0.5000
Sn: 0.5000 0.5000 0.5000
Br: 0.0000 0.0000 0.0000
Cl: 0.0000 0.5000 0.0000
Cl: 0.5000 0.0000 0.0000

SG: P4/mmm
Energy above the lowest structure with this stoichiometry in meV per atom: 369.1
Energy relative to the elements, uncorrected in eV per atom: 0.3100
Uncorrected energy in eV/cell: -11.9

***

# 8
Entry from Alexandria via LeMat-Bulk: a relaxed SnS2BrCl crystal (GGA-PBE).

abc: 5.1278 5.1278 5.1013
angles: 90.00 90.00 90.00
Site moments in Bohr magnetons follow the coordinates.
Fractional coordinates of all 5 atoms:
S: 0.0000 0.5000 0.0000  0.48
S: 0.5000 0.0000 0.0000  0.48
Sn: 0.0000 0.0000 0.0000  -0.01
Br: 0.5000 0.5000 0.5000  0.69
Cl: 0.0000 0.0000 0.5000  0.03

SG: P4/mmm
Energy above the lowest structure with this stoichiometry in meV per atom: 0.0
Energy relative to the elements, uncorrected in eV per atom: 0.2753
Uncorrected energy in eV/cell: -14.4

***

Repeat the third record exactly.
Entry from Alexandria via LeMat-Bulk: a relaxed SbS2BrCl crystal (GGA-PBE).

abc: 5.1683 5.1683 5.1508
angles: 90.00 90.00 90.00
Site moments in Bohr magnetons follow the coordinates.
Fractional coordinates of all 5 atoms:
Sb: 0.0000 0.0000 0.0000  0.00
S: 0.0000 0.5000 0.0000  0.45
S: 0.5000 0.0000 0.0000  0.45
Br: 0.5000 0.5000 0.5000  0.67
Cl: 0.0000 0.0000 0.5000  0.02

SG: P4/mmm
Energy above the lowest structure with this stoichiometry in meV per atom: 0.0
Energy relative to the elements, uncorrected in eV per atom: 0.3481
Uncorrected energy in eV/cell: -14.2